[1]
DFT (PBE) results for a relaxed structure of Si2PbAu. Values from VASP.

Properties
Symmetry = P2/m, No. 10
Crystal system = monoclinic
Calculated total energy = -4.29 eV per atom
Energy relative to the elements, uncorrected = 16.5 kJ/mol of atoms

```
&SYSTEM
  ibrav = 0, nat = 4, ntyp = 3
/
ATOMIC_SPECIES
Au 196.97 Au.upf
Pb 207.20 Pb.upf
Si 28.09 Si.upf
CELL_PARAMETERS angstrom
4.2301 0.0000 0.0000
0.0000 4.2546 0.0057
0.0000 0.6972 4.9991
ATOMIC_POSITIONS angstrom
Au 2.1151 1.2379 1.2512
Pb 2.1151 3.7138 3.7536
Si 0.0000 0.0890 0.5414
Si 0.0000 2.3868 1.9610
```



[2]
DFT (PBE) results for a relaxed structure of RbCu2BiW. Values from VASP.

Properties
Symmetry = P4/mmm, No. 123
Crystal system = tetragonal
Energy relative to the elements = 2.52 eV per atom
Calculated total energy = -2.68 eV per atom

```
&SYSTEM
  ibrav = 0, nat = 5, ntyp = 4
/
ATOMIC_SPECIES
Rb 85.47 Rb.upf
Cu 63.55 Cu.upf
Bi 208.98 Bi.upf
W 183.84 W.upf
CELL_PARAMETERS angstrom
4.9122 0.0000 0.0000
0.0000 6.2607 0.0000
0.0000 0.0000 4.9122
ATOMIC_POSITIONS angstrom
Rb 0.0000 0.0000 0.0000
Cu 0.0000 0.0000 2.4561
Cu 2.4561 0.0000 0.0000
Bi 0.0000 3.1303 0.0000
W 2.4561 3.1303 2.4561
```